[1]
First-principles (PBE) data for a relaxed structure of OsCl6F, as listed in Alexandria via LeMat-Bulk.

Properties
* formation energy from raw total energies: -0.24 eV/atom
* symmetry: C2/m, No. 12
* density of states at the Fermi level: 5.0 states/eV per cell

a = 13.918 Å, b = 6.499 Å, c = 6.499 Å
α = 61.97°, β = 141.72°, γ = 141.72°
Site moments in Bohr magnetons follow the coordinates.
Positions (direct):
Cl 0.659 0.495 0.495  0.12
Cl 0.838 0.176 0.695  -0.01
Cl 0.341 0.505 0.505  0.12
Cl 0.162 0.824 0.305  -0.01
Cl 0.838 0.695 0.176  -0.01
Cl 0.162 0.305 0.824  -0.01
F 0.500 0.000 0.000  -0.40
Os 0.000 0.000 0.000  1.08

[2]
First-principles (PBE) data for a relaxed structure of Na3PmCl6, as listed in Alexandria via LeMat-Bulk.

Properties
* formation energy from raw total energies: -2.00 eV/atom
* symmetry: R3, No. 146
* density of states at the Fermi level: 0.0 states/eV per cell
* E above lowest polymorph: 0.00 kJ per mole of atoms

a = 7.090 Å, b = 7.090 Å, c = 7.589 Å
α = 62.15°, β = 62.15°, γ = 60.00°
Positions (direct):
Na 0.351 0.351 0.946
Na 0.151 0.151 0.548
Na 0.646 0.646 0.063
Pm 0.845 0.845 0.464
Cl 0.948 0.570 0.251
Cl 0.456 0.752 0.742
Cl 0.752 0.050 0.742
Cl 0.570 0.231 0.251
Cl 0.231 0.948 0.251
Cl 0.050 0.456 0.742

[3]
First-principles (PBE) data for a relaxed structure of CsGa2Tc, as listed in Alexandria via LeMat-Bulk.

Properties
* DFT formation energy: 1.08 eV per atom
* symmetry: Fm-3m, No. 225
* density of states at the Fermi level: 5.8 states/eV per cell
* E above lowest polymorph: 67.61 kJ per mole of atoms

a = 5.083 Å, b = 5.083 Å, c = 5.083 Å
α = 60.00°, β = 60.00°, γ = 60.00°
Site moments in Bohr magnetons follow the coordinates.
Positions (direct):
Ga 0.750 0.750 0.750  -0.03
Ga 0.250 0.250 0.250  -0.03
Tc 0.000 0.000 0.000  2.38
Cs 0.500 0.500 0.500  0.02

- Which of these has the highest density of states at the Fermi level?
  CsGa2Tc

Please write out number 3 again, unchanged.
First-principles (PBE) data for a relaxed structure of CsGa2Tc, as listed in Alexandria via LeMat-Bulk.

Properties
* DFT formation energy: 1.08 eV per atom
* symmetry: Fm-3m, No. 225
* density of states at the Fermi level: 5.8 states/eV per cell
* E above lowest polymorph: 67.61 kJ per mole of atoms

a = 5.083 Å, b = 5.083 Å, c = 5.083 Å
α = 60.00°, β = 60.00°, γ = 60.00°
Site moments in Bohr magnetons follow the coordinates.
Positions (direct):
Ga 0.750 0.750 0.750  -0.03
Ga 0.250 0.250 0.250  -0.03
Tc 0.000 0.000 0.000  2.38
Cs 0.500 0.500 0.500  0.02